Entry 1:
Material: Er3TmN
Method: DFT, PBE-GGA
State: optimized geometry

Cell lengths 4.8979, 4.8979, 4.8979 Å; angles 90.00, 90.00, 90.00 degrees
With the nearest neighbours (Å) after each atom.
Space group Pm-3m (No. 221)
Symmetry-distinct sites (fractional):
Er 0.0000 0.0000 0.5000 x3  2 N 2.45
Tm 0.5000 0.5000 0.5000 x1  12 Er 3.46
N 0.0000 0.0000 0.0000 x1  6 Er 2.45

Computed properties:
The calculation puts the final energy at -29.19 eV per cell.

---

Entry 2:
Material: ErTmN
Method: DFT, PBE-GGA
State: optimized geometry

Cell lengths 6.6791, 4.8759, 8.2449 Å; angles 90.00, 90.00, 90.00 degrees
With the nearest neighbours (Å) after each atom.
Space group Pnma (No. 62)
Symmetry-distinct sites (fractional):
Er 0.0851 0.2500 0.1382 x4  2 N 2.26-2.27
Tm 0.0719 0.2500 0.6164 x4  3 N 2.19-2.44
N 0.0759 0.7500 0.6213 x4  3 Tm 2.19-2.44, 2 Er 2.26-2.27

Computed properties:
The calculation puts the final energy at -81.22 eV per cell. For the distance to the lowest polymorph of the same formula, the calculation gives 0.33 eV/f.u.

---

Entry 3:
Material: Er4Tm2N
Method: DFT, PBE-GGA
State: optimized geometry

Cell lengths 4.7149, 4.7149, 17.4076 Å; angles 90.00, 90.00, 90.00 degrees
With the nearest neighbours (Å) after each atom.
Space group I4/mmm (No. 139)
Symmetry-distinct sites (fractional):
Er 0.0000 0.0000 0.1334 x4  1 N 2.32
Er 0.0000 0.5000 0.0000 x4  2 N 2.36
Tm 0.0000 0.0000 0.3322 x4  9 Er 3.39-3.75
N 0.0000 0.0000 0.0000 x2  6 Er 2.32-2.36

Computed properties:
The calculation puts the final energy at -74.78 eV per cell.

---

Entry 4:
Material: Er3TmN4
Method: DFT, PBE-GGA
State: optimized geometry

Cell lengths 5.9258, 6.8455, 5.9258 Å; angles 90.00, 109.46, 90.00 degrees
With the nearest neighbours (Å) after each atom.
Space group P2/c (No. 13)
Symmetry-distinct sites (fractional):
Er 0.0000 0.1253 0.2500 x2  6 N 2.42-2.43
Er 0.0000 0.3752 0.7500 x2  6 N 2.42-2.43
Er 0.5000 0.1252 0.7500 x2  6 N 2.42
Tm 0.5000 0.3753 0.2500 x2  6 N 2.41-2.42
N 0.2504 0.1256 0.0007 x4  1 Tm 2.42, 5 Er 2.42-2.43
N 0.2512 0.3757 0.4998 x4  2 Tm 2.41, 4 Er 2.42-2.43

Computed properties:
The calculation puts the final energy at -131.63 eV per cell.

---

| no. | formation energy (no corrections) (eV per atom) | Fermi-level density of states (states/eV/cell) |
| --- | --- | --- |
| 1 | -0.54 | 6.2 |
| 2 | -0.98 | 10.8 |
| 3 | -0.27 | 15.5 |
| 4 | -1.79 | 0.7 |